No. 1
The following is a PBE calculation of a relaxed structure of AsWAuSe2, from the Alexandria database.

POSCAR file:
```
AsWAuSe2
1.0
5.041 0.000 0.000
0.000 5.041 0.000
0.000 0.000 4.881
As W Au Se
1 1 1 2
Cartesian
0.000 0.000 0.000
2.521 2.521 0.000
0.000 0.000 2.440
0.000 2.521 2.440
2.521 0.000 2.440
```

N(E_F) = 3.67 states/eV/f.u.
Formation energy (no corrections) = 1.5066 eV per atom
V = 124.0 Å³ per cell
Space group = P4/mmm
Theoretical density = 8.22 g/cm3
Energy relative to the lowest polymorph listed for this composition = 950 meV/atom

No. 2
The following is a PBE calculation of a relaxed structure of Y6As2AuSe3, from the Alexandria database.

POSCAR file:
```
Y6As2AuSe3
1.0
9.017 -2.044 0.000
9.017 2.044 0.000
-1.945 0.000 8.081
Y As Au Se
6 2 1 3
Cartesian
-0.458 0.000 2.028
5.124 0.000 3.416
4.234 0.000 7.348
11.853 0.000 0.734
10.964 0.000 4.665
16.546 0.000 6.053
2.350 0.000 2.702
13.738 0.000 5.380
9.017 0.000 0.000
1.414 0.000 6.728
8.044 0.000 4.041
14.673 0.000 1.353
```

N(E_F) = 4.29 states/eV/f.u.
Formation energy (no corrections) = -1.5673 eV per atom
V = 297.9 Å³ per cell
Space group = C2/m
Theoretical density = 6.23 g/cm3

No. 3
The following is a PBE calculation of a relaxed structure of YAs2AuSe, from the Alexandria database.

POSCAR file:
```
YAs2AuSe
1.0
5.459 0.000 0.000
0.000 5.459 0.000
0.000 0.000 5.321
Y As Au Se
1 2 1 1
Cartesian
0.000 0.000 0.000
0.000 2.730 0.000
2.730 0.000 0.000
2.730 2.730 2.661
0.000 0.000 2.661
```

N(E_F) = 5.34 states/eV/f.u.
Formation energy (no corrections) = 0.4685 eV per atom
V = 158.6 Å³ per cell
Space group = P4/mmm
Theoretical density = 5.39 g/cm3
Energy relative to the lowest polymorph listed for this composition = 413 meV/atom

No. 4
The following is a PBE calculation of a relaxed structure of YAs2AuSe, from the Alexandria database.

POSCAR file:
```
YAs2AuSe
1.0
4.976 0.000 0.000
0.000 4.976 0.000
0.000 0.000 5.156
Y As Au Se
1 2 1 1
Cartesian
0.000 0.000 0.000
0.000 2.488 2.578
2.488 0.000 2.578
2.488 2.488 2.578
2.488 2.488 0.000
```

N(E_F) = 3.76 states/eV/f.u.
Formation energy (no corrections) = 0.0555 eV per atom
V = 127.7 Å³ per cell
Space group = P4/mmm
Theoretical density = 6.69 g/cm3
Energy relative to the lowest polymorph listed for this composition = 0 meV/atom

No. 5
The following is a PBE calculation of a relaxed structure of ZnAsAuSe2, from the Alexandria database.

POSCAR file:
```
ZnAsAuSe2
1.0
4.942 0.000 0.000
0.000 4.942 0.000
0.000 0.000 4.760
Zn As Au Se
1 1 1 2
Cartesian
0.000 0.000 0.000
0.000 0.000 2.380
2.471 2.471 2.380
0.000 2.471 0.000
2.471 0.000 0.000
```

N(E_F) = 4.94 states/eV/f.u.
Formation energy (no corrections) = 0.7234 eV per atom
V = 116.2 Å³ per cell
Space group = P4/mmm
Theoretical density = 7.07 g/cm3
Energy relative to the lowest polymorph listed for this composition = 0 meV/atom

No. 6
The following is a PBE calculation of a relaxed structure of ZnAsAuSe2, from the Alexandria database.

POSCAR file:
```
ZnAsAuSe2
1.0
5.243 0.000 0.000
0.000 5.243 0.000
0.000 0.000 4.855
Zn As Au Se
1 1 1 2
Cartesian
0.000 0.000 0.000
2.622 2.622 0.000
2.622 2.622 2.427
0.000 2.622 2.427
2.622 0.000 2.427
```

N(E_F) = 4.89 states/eV/f.u.
Formation energy (no corrections) = 0.7380 eV per atom
V = 133.5 Å³ per cell
Space group = P4/mmm
Theoretical density = 6.16 g/cm3
Energy relative to the lowest polymorph listed for this composition = 15 meV/atom

No. 7
The following is a PBE calculation of a relaxed structure of ZrAsAuSe2, from the Alexandria database.

POSCAR file:
```
ZrAsAuSe2
1.0
5.149 0.000 0.000
0.000 5.149 0.000
0.000 0.000 5.292
Zr As Au Se
1 1 1 2
Cartesian
0.000 0.000 0.000
0.000 0.000 2.646
2.575 2.575 2.646
0.000 2.575 0.000
2.575 0.000 0.000
```

N(E_F) = 6.47 states/eV/f.u.
Formation energy (no corrections) = 0.1384 eV per atom
V = 140.3 Å³ per cell
Space group = P4/mmm
Theoretical density = 6.17 g/cm3
Energy relative to the lowest polymorph listed for this composition = 0 meV/atom

No. 8
The following is a PBE calculation of a relaxed structure of ZrAsAuSe2, from the Alexandria database.

POSCAR file:
```
ZrAsAuSe2
1.0
5.009 0.000 0.000
0.000 5.009 0.000
0.000 0.000 4.934
Zr As Au Se
1 1 1 2
Cartesian
0.000 0.000 0.000
2.504 2.504 0.000
2.504 2.504 2.467
0.000 2.504 2.467
2.504 0.000 2.467
```

N(E_F) = 4.11 states/eV/f.u.
Formation energy (no corrections) = 0.4775 eV per atom
V = 123.8 Å³ per cell
Space group = P4/mmm
Theoretical density = 6.99 g/cm3
Energy relative to the lowest polymorph listed for this composition = 339 meV/atom

No. 9
The following is a PBE calculation of a relaxed structure of ZrAs2AuSe, from the Alexandria database.

POSCAR file:
```
ZrAs2AuSe
1.0
4.919 0.000 0.000
0.000 4.919 0.000
0.000 0.000 5.059
Zr As Au Se
1 2 1 1
Cartesian
0.000 0.000 0.000
0.000 2.459 2.529
2.459 0.000 2.529
2.459 2.459 2.529
2.459 2.459 0.000
```

N(E_F) = 3.71 states/eV/f.u.
Formation energy (no corrections) = 0.5727 eV per atom
V = 122.4 Å³ per cell
Space group = P4/mmm
Theoretical density = 7.01 g/cm3
Energy relative to the lowest polymorph listed for this composition = 259 meV/atom

No. 10
The following is a PBE calculation of a relaxed structure of ZrAs2AuSe, from the Alexandria database.

POSCAR file:
```
ZrAs2AuSe
1.0
5.223 0.000 0.000
0.000 5.223 0.000
0.000 0.000 5.099
Zr As Au Se
1 2 1 1
Cartesian
0.000 0.000 0.000
0.000 2.611 0.000
2.611 0.000 0.000
2.611 2.611 2.549
0.000 0.000 2.549
```

N(E_F) = 4.27 states/eV/f.u.
Formation energy (no corrections) = 0.3138 eV per atom
V = 139.1 Å³ per cell
Space group = P4/mmm
Theoretical density = 6.17 g/cm3
Energy relative to the lowest polymorph listed for this composition = 0 meV/atom

No. 11
The following is a PBE calculation of a relaxed structure of SiAsAu, from the Alexandria database.

POSCAR file:
```
SiAsAu
1.0
7.733 -2.993 0.000
7.733 2.993 0.000
-6.297 0.000 8.621
Si As Au
6 6 6
Cartesian
0.918 1.538 7.171
4.585 1.727 4.310
5.073 1.431 7.897
4.066 -1.538 2.861
7.733 -1.727 0.000
8.222 -1.431 3.587
-1.548 0.258 3.135
-4.697 -0.258 7.445
5.260 0.014 5.912
8.408 -0.014 1.602
7.765 0.044 5.490
10.914 -0.044 1.179
6.507 2.301 0.801
4.366 0.713 2.009
2.339 0.106 3.939
-0.809 -0.106 8.250
1.217 -0.713 6.319
3.359 -2.301 5.112
```

N(E_F) = 0.71 states/eV/f.u.
Formation energy (no corrections) = 0.0414 eV per atom
V = 399.1 Å³ per cell
Space group = Cc
Theoretical density = 7.49 g/cm3
Energy relative to the lowest polymorph listed for this composition = 0 meV/atom

No. 12
The following is a PBE calculation of a relaxed structure of SiAsAu2, from the Alexandria database.

POSCAR file:
```
SiAsAu2
1.0
4.468 0.000 0.000
0.000 3.688 0.000
-2.201 0.000 4.591
Si As Au
1 1 2
Cartesian
0.000 0.000 0.000
0.731 1.844 4.107
-0.953 0.000 2.468
1.278 1.844 1.489
```

N(E_F) = 1.26 states/eV/f.u.
Formation energy (no corrections) = 0.0825 eV per atom
V = 75.7 Å³ per cell
Space group = Pm
Theoretical density = 10.91 g/cm3
Energy relative to the lowest polymorph listed for this composition = 0 meV/atom